# 1
PuSi2Pt3 | PBE-GGA | relaxed

Values from the calculation:
- raw formation energy (meV per atom) = -662
- electronic total energy (eV for the cell shown) = -189.09
- M_tot (μB/cell) = 22.0

Geometry as CIF:
```
data_PuSi2Pt3
_chemical_formula_sum 'Pu4 Si8 Pt12'
_space_group_name_H-M_alt 'I m m m'
_space_group_IT_number 71
_space_group_name_Hall '-I 2 2'
_cell_length_a 3.6875
_cell_length_b 8.4538
_cell_length_c 13.2413
_cell_angle_alpha 90.00
_cell_angle_beta 90.00
_cell_angle_gamma 90.00
loop_
_atom_site_label
_atom_site_fract_x
_atom_site_fract_y
_atom_site_fract_z
Pu1 0.0000 0.0000 0.1457
Si1 0.0000 0.3502 0.5000
Si2 0.0000 0.5000 0.1536
Pt1 0.0000 0.2038 0.3277
Pt2 0.0000 0.3299 0.0000
```

---

# 2
Ba2AgP | PBE-GGA | relaxed

Values from the calculation:
- electronic total energy (eV for the cell shown) = -42.36
- M_tot (μB/cell) = 0.0

Geometry as CIF:
```
data_Ba2AgP
_chemical_formula_sum 'Ba6 Ag3 P3'
_space_group_name_H-M_alt 'R 3 m'
_space_group_IT_number 160
_space_group_name_Hall 'R 3 -2"'
_cell_length_a 4.5119
_cell_length_b 4.5119
_cell_length_c 25.6767
_cell_angle_alpha 90.00
_cell_angle_beta 90.00
_cell_angle_gamma 120.00
loop_
_atom_site_label
_atom_site_fract_x
_atom_site_fract_y
_atom_site_fract_z
Ba1 0.0000 0.0000 0.0000
Ba2 0.0000 0.0000 0.1738
Ag1 0.0000 0.0000 0.7548
P1 0.0000 0.0000 0.4155
```

---

# 3
KZn4Hg | PBE-GGA | relaxed

Values from the calculation:
- electronic total energy (eV for the cell shown) = -23.76
- M_tot (μB/cell) = 0.0

Geometry as CIF:
```
data_KZn4Hg
_chemical_formula_sum 'K4 Zn16 Hg4'
_space_group_name_H-M_alt 'F -4 3 m'
_space_group_IT_number 216
_space_group_name_Hall 'F -4 2 3'
_cell_length_a 7.9662
_cell_length_b 7.9662
_cell_length_c 7.9662
_cell_angle_alpha 90.00
_cell_angle_beta 90.00
_cell_angle_gamma 90.00
loop_
_atom_site_label
_atom_site_fract_x
_atom_site_fract_y
_atom_site_fract_z
K1 0.0000 0.0000 0.0000
Zn1 0.1242 0.1242 0.6242
Hg1 0.2500 0.2500 0.2500
```